Dy5Tm8In: relaxed, PBE-GGA.

Summary:
E_tot   -117.80 eV per cell
M_tot   0.00 μB per formula unit

The structure in CIF format:
```
data_Dy5Tm8In
_symmetry_space_group_name_H-M 'I -4'
_symmetry_Int_Tables_number 82
_cell_length_a 9.466
_cell_length_b 9.466
_cell_length_c 9.815
_cell_angle_alpha 90.00
_cell_angle_beta 90.00
_cell_angle_gamma 90.00
loop_
_symmetry_equiv_pos_as_xyz
'x,y,z'
'y,-x,-z'
'-x,-y,z'
'-y,x,-z'
'x+1/2,y+1/2,z+1/2'
'y+1/2,-x+1/2,-z+1/2'
'-x+1/2,-y+1/2,z+1/2'
'-y+1/2,x+1/2,-z+1/2'
loop_
_atom_site_label
_atom_site_type_symbol
_atom_site_fract_x
_atom_site_fract_y
_atom_site_fract_z
_atom_site_occupancy
Dy1 Dy 0.000 0.000 0.000 1
Dy2 Dy 0.103 0.210 0.419 1
Tm1 Tm 0.069 0.324 0.092 1
Tm2 Tm 0.087 0.183 0.754 1
In1 In 0.000 0.500 0.750 1
```


LaSm7In4: relaxed, PBE-GGA.

Summary:
E_tot   -101.16 eV per cell
M_tot   0.27 μB per formula unit

The structure in CIF format:
```
data_LaSm7In4
_symmetry_space_group_name_H-M 'C 1 2/m 1'
_symmetry_Int_Tables_number 12
_cell_length_a 14.650
_cell_length_b 5.779
_cell_length_c 10.755
_cell_angle_alpha 90.00
_cell_angle_beta 123.61
_cell_angle_gamma 90.00
loop_
_symmetry_equiv_pos_as_xyz
'x,y,z'
'-x,-y,-z'
'-x,y,-z'
'x,-y,z'
'x+1/2,y+1/2,z'
'-x+1/2,-y+1/2,-z'
'-x+1/2,y+1/2,-z'
'x+1/2,-y+1/2,z'
loop_
_atom_site_label
_atom_site_type_symbol
_atom_site_fract_x
_atom_site_fract_y
_atom_site_fract_z
_atom_site_occupancy
La1 La 0.000 0.000 0.000 1
Sm1 Sm 0.000 0.500 0.000 1
Sm2 Sm 0.063 0.000 0.394 1
Sm3 Sm 0.207 0.000 0.878 1
Sm4 Sm 0.216 0.500 0.653 1
In1 In 0.059 0.500 0.758 1
In2 In 0.182 0.500 0.332 1
```


TiCo3: relaxed, PBE-GGA.

Summary:
E_tot   -59.99 eV per cell
M_tot   3.06 μB per formula unit

The structure in CIF format:
```
data_TiCo3
_symmetry_space_group_name_H-M 'I 4/m m m'
_symmetry_Int_Tables_number 139
_symmetry_space_group_name_Hall '-I 4 2'
_cell_length_a 3.602
_cell_length_b 3.602
_cell_length_c 7.298
_cell_angle_alpha 90.00
_cell_angle_beta 90.00
_cell_angle_gamma 90.00
loop_
_atom_site_label
_atom_site_type_symbol
_atom_site_fract_x
_atom_site_fract_y
_atom_site_fract_z
_atom_site_occupancy
Ti1 Ti 0.000 0.000 0.000 1
Co1 Co 0.000 0.000 0.500 1
Co2 Co 0.000 0.500 0.250 1
```


HoThOs: relaxed, PBE-GGA.

Summary:
E_tot   -143.40 eV per cell
M_tot   0.00 μB per formula unit

The structure in CIF format:
```
data_HoThOs
_symmetry_space_group_name_H-M 'A m m 2'
_symmetry_Int_Tables_number 38
_cell_length_a 4.732
_cell_length_b 12.763
_cell_length_c 7.512
_cell_angle_alpha 90.00
_cell_angle_beta 90.00
_cell_angle_gamma 90.00
loop_
_symmetry_equiv_pos_as_xyz
'x,y,z'
'-x,-y,z'
'-x,y,z'
'x,-y,z'
'x,y+1/2,z+1/2'
'-x,-y+1/2,z+1/2'
'-x,y+1/2,z+1/2'
'x,-y+1/2,z+1/2'
loop_
_atom_site_label
_atom_site_type_symbol
_atom_site_fract_x
_atom_site_fract_y
_atom_site_fract_z
_atom_site_occupancy
Ho1 Ho 0.000 0.000 0.000 1
Ho2 Ho 0.000 0.206 0.388 1
Th1 Th 0.500 0.000 0.328 1
Th2 Th 0.500 0.135 0.720 1
Os1 Os 0.000 0.000 0.593 1
Os2 Os 0.500 0.163 0.086 1
```


BeIn2Si: relaxed, PBE-GGA.

Summary:
M_tot   0.00 μB per formula unit
ΔE_f (raw)   1.49 eV/f.u.

The structure in CIF format:
```
data_BeIn2Si
_symmetry_space_group_name_H-M 'C m m 2'
_symmetry_Int_Tables_number 35
_cell_length_a 3.953
_cell_length_b 4.714
_cell_length_c 8.510
_cell_angle_alpha 90.00
_cell_angle_beta 90.00
_cell_angle_gamma 90.00
loop_
_symmetry_equiv_pos_as_xyz
'x,y,z'
'-x,-y,z'
'-x,y,z'
'x,-y,z'
'x+1/2,y+1/2,z'
'-x+1/2,-y+1/2,z'
'-x+1/2,y+1/2,z'
'x+1/2,-y+1/2,z'
loop_
_atom_site_label
_atom_site_type_symbol
_atom_site_fract_x
_atom_site_fract_y
_atom_site_fract_z
_atom_site_occupancy
Be1 Be 0.000 0.000 0.000 1
In1 In 0.000 0.000 0.573 1
In2 In 0.000 0.500 0.234 1
Si1 Si 0.000 0.500 0.860 1
```


GdScGe2: relaxed, PBE-GGA.

Summary:
E_tot   -32.09 eV per cell
M_tot   7.49 μB per formula unit

The structure in CIF format:
```
data_GdScGe2
_symmetry_space_group_name_H-M 'P 4/m m m'
_symmetry_Int_Tables_number 123
_symmetry_space_group_name_Hall '-P 4 2'
_cell_length_a 4.579
_cell_length_b 4.579
_cell_length_c 4.027
_cell_angle_alpha 90.00
_cell_angle_beta 90.00
_cell_angle_gamma 90.00
loop_
_atom_site_label
_atom_site_type_symbol
_atom_site_fract_x
_atom_site_fract_y
_atom_site_fract_z
_atom_site_occupancy
Gd1 Gd 0.000 0.000 0.000 1
Sc1 Sc 0.500 0.500 0.000 1
Ge1 Ge 0.000 0.500 0.500 1
```


- The highest M_tot belongs to which entry?
  GdScGe2


- Look up the M_tot of the second one.
  0.27 μB per formula unit